Below is a relaxed TbHoNb2Si2 crystal, with properties calculated at the PBE level.

a = 4.0037 Å, b = 4.0037 Å, c = 7.7836 Å
α = 90.00°, β = 90.00°, γ = 90.00°
Space group P4mm (No. 99)
Unique sites:
Tb  0.0000  0.0000  0.0000 [1 per cell]
Ho  0.5000  0.5000  0.7071 [1 per cell]
Nb  0.0000  0.5000  0.3552 [2 per cell]
Si  0.0000  0.0000  0.5950 [1 per cell]
Si  0.5000  0.5000  0.1155 [1 per cell]

Values from the calculation:
M_tot, μB/f.u.: 1.08
E, eV/atom: -7.34